Density functional theory data (PBE) for Ru2PbAu after structural relaxation.

Unit cell a=9.8348 b=9.8348 c=9.8348 alpha=17.30 beta=17.30 gamma=17.30
With the nearest neighbours (Å) after each atom.
Element x y z (fractional)
Ru1 0.0000 0.0000 0.0000  3 Ru 2.57
Ru2 0.2672 0.2672 0.2672  3 Ru 2.57
Pb1 0.5127 0.5127 0.5127  6 Pb 2.96, 3 Ru 3.07
Au1 0.7475 0.7475 0.7475  3 Ru 2.90, 6 Au 2.96

Results
- SG: No. 160
- Fermi-level density of states: 3.428 states/eV/f.u.
- Crystal system: trigonal
- Formation energy from the elements: 485 meV/atom

***

Density functional theory data (PBE) for Sb2RuPbAu after structural relaxation.

Unit cell a=5.0147 b=5.0147 c=5.3824 alpha=90.00 beta=90.00 gamma=90.00
With the nearest neighbours (Å) after each atom.
Element x y z (fractional)
Sb1 0.0000 0.5000 0.0000  2 Ru 2.51
Sb2 0.5000 0.0000 0.0000  2 Ru 2.51
Ru1 0.0000 0.0000 0.0000  4 Sb 2.51, 2 Au 2.69
Pb1 0.5000 0.5000 0.5000  4 Au 3.55, 8 Sb 3.68
Au1 0.0000 0.0000 0.5000  2 Ru 2.69

Results
- SG: No. 123
- Fermi-level density of states: 4.384 states/eV/f.u.
- Formation energy from raw total energies: 337.9 meV/atom
- Crystal system: tetragonal

***

no.,calculated density (g/cm³)
1,13.72
2,9.19